# PrCuTe2O8

A geometry-optimized PrCuTe2O8 structure (PBE, the Alexandria database).

Output
Spin magnetization, μB/f.u.: 0.13
Calculated total energy, eV/atom: -5.7868
Formation energy (no corrections), meV per atom: -1218

CIF file:
```
data_PrCuTe2O8
_cell_length_a 7.391
_cell_length_b 7.391
_cell_length_c 6.863
_cell_angle_alpha 90.00
_cell_angle_beta 90.00
_cell_angle_gamma 90.00
_space_group_name_H-M_alt 'I -4 m 2'
_space_group_IT_number 119
_space_group_name_Hall 'I -4 -2'
loop_
_atom_site_label
_atom_site_type_symbol
_atom_site_fract_x
_atom_site_fract_y
_atom_site_fract_z
Pr1 Pr 0.000 0.000 0.000
Cu1 Cu 0.000 0.500 0.750
Te1 Te 0.000 0.000 0.500
Te2 Te 0.000 0.500 0.250
O1 O 0.000 0.194 0.680
O2 O 0.000 0.311 0.078
```



# Ac7Ir2Pb2

A geometry-optimized Ac7Ir2Pb2 structure (PBE, the Alexandria database).

Output
Spin magnetization, μB/f.u.: 0.00
Polymorph energy (0 for the lowest one), kJ/mol of atoms: 0.0
Calculated total energy, eV/atom: -5.3430
Energy of formation from the pure elements, eV per atom: -0.443

CIF file:
```
data_Ac7Ir2Pb2
_cell_length_a 4.623
_cell_length_b 16.501
_cell_length_c 10.340
_cell_angle_alpha 90.00
_cell_angle_beta 90.00
_cell_angle_gamma 90.00
_space_group_name_H-M_alt 'I m m 2'
_space_group_IT_number 44
_space_group_name_Hall 'I 2 -2'
loop_
_atom_site_label
_atom_site_type_symbol
_atom_site_fract_x
_atom_site_fract_y
_atom_site_fract_z
Ac1 Ac 0.000 0.000 0.000
Ac2 Ac 0.000 0.103 0.608
Ac3 Ac 0.000 0.327 0.374
Ac4 Ac 0.000 0.383 0.792
Ir1 Ir 0.000 0.000 0.351
Ir2 Ir 0.000 0.500 0.293
Pb1 Pb 0.000 0.231 0.088
```



# MnSiBr

A geometry-optimized MnSiBr structure (PBE, the Alexandria database).

Output
Spin magnetization, μB/f.u.: 2.25
Polymorph energy (0 for the lowest one), kJ/mol of atoms: 8.3
Calculated total energy, eV/atom: -5.2390
Formation energy (no corrections), meV per atom: 183

CIF file:
```
data_MnSiBr
_cell_length_a 3.4757
_cell_length_b 3.4757
_cell_length_c 5.6207
_cell_angle_alpha 90.00
_cell_angle_beta 90.00
_cell_angle_gamma 120.00
_space_group_name_H-M_alt 'P 3 m 1'
_space_group_IT_number 156
_space_group_name_Hall 'P 3 -2"'
loop_
_atom_site_label
_atom_site_type_symbol
_atom_site_fract_x
_atom_site_fract_y
_atom_site_fract_z
Mn1 Mn 0.0000 0.0000 0.0000
Si1 Si 0.6667 0.3333 0.2194
Br1 Br 0.3333 0.6667 0.6994
```



# Sr3MnAu

A geometry-optimized Sr3MnAu structure (PBE, the Alexandria database).

Output
Spin magnetization, μB/f.u.: 4.55
Polymorph energy (0 for the lowest one), kJ/mol of atoms: 0.0
Calculated total energy, eV/atom: -3.3614
Energy of formation from the pure elements, eV per atom: 0.137

CIF file:
```
data_Sr3MnAu
_cell_length_a 6.008
_cell_length_b 6.008
_cell_length_c 6.008
_cell_angle_alpha 90.00
_cell_angle_beta 90.00
_cell_angle_gamma 90.00
_space_group_name_H-M_alt 'P m -3 m'
_space_group_IT_number 221
_space_group_name_Hall '-P 4 2 3'
loop_
_atom_site_label
_atom_site_type_symbol
_atom_site_fract_x
_atom_site_fract_y
_atom_site_fract_z
Sr1 Sr 0.000 0.000 0.500
Mn1 Mn 0.500 0.500 0.500
Au1 Au 0.000 0.000 0.000
```



# Al4Co2Os

A geometry-optimized Al4Co2Os structure (PBE, the Alexandria database).

Output
Spin magnetization, μB/f.u.: 0.00
Calculated total energy, eV/atom: -6.1994
Energy of formation from the pure elements, eV per atom: -0.426

CIF file:
```
data_Al4Co2Os
_cell_length_a 4.1349
_cell_length_b 4.1349
_cell_length_c 19.5110
_cell_angle_alpha 90.00
_cell_angle_beta 90.00
_cell_angle_gamma 120.00
_space_group_name_H-M_alt 'R -3 m'
_space_group_IT_number 166
_space_group_name_Hall '-R 3 2"'
loop_
_atom_site_label
_atom_site_type_symbol
_atom_site_fract_x
_atom_site_fract_y
_atom_site_fract_z
Al1 Al 0.0000 0.0000 0.1161
Al2 Al 0.0000 0.0000 0.3693
Co1 Co 0.0000 0.0000 0.2463
Os1 Os 0.0000 0.0000 0.5000
```



# TlSn2Pb5

A geometry-optimized TlSn2Pb5 structure (PBE, the Alexandria database).

Output
Spin magnetization, μB/f.u.: 0.00
Polymorph energy (0 for the lowest one), kJ/mol of atoms: 0.0
Calculated total energy, eV/atom: -3.5579
Energy of formation from the pure elements, eV per atom: 0.056

CIF file:
```
data_TlSn2Pb5
_cell_length_a 8.407
_cell_length_b 8.407
_cell_length_c 6.943
_cell_angle_alpha 90.00
_cell_angle_beta 90.00
_cell_angle_gamma 90.00
_space_group_name_H-M_alt 'I 4/m m m'
_space_group_IT_number 139
_space_group_name_Hall '-I 4 2'
loop_
_atom_site_label
_atom_site_type_symbol
_atom_site_fract_x
_atom_site_fract_y
_atom_site_fract_z
Tl1 Tl 0.000 0.000 0.000
Sn1 Sn 0.000 0.500 0.000
Pb1 Pb 0.000 0.000 0.500
Pb2 Pb 0.250 0.250 0.250
```



# Ti6H2CO

A geometry-optimized Ti6H2CO structure (PBE, the Alexandria database).

Output
Spin magnetization, μB/f.u.: 0.00
Calculated total energy, eV/atom: -7.6838

CIF file:
```
data_Ti6H2CO
_cell_length_a 5.179
_cell_length_b 5.188
_cell_length_c 5.745
_cell_angle_alpha 63.25
_cell_angle_beta 63.23
_cell_angle_gamma 60.07
_space_group_name_H-M_alt 'P 1'
_space_group_IT_number 1
_space_group_name_Hall 'P 1'
loop_
_atom_site_label
_atom_site_type_symbol
_atom_site_fract_x
_atom_site_fract_y
_atom_site_fract_z
Ti1 Ti 0.000 0.000 0.000
Ti2 Ti 0.151 0.843 0.504
Ti3 Ti 0.339 0.350 0.999
Ti4 Ti 0.494 0.192 0.503
Ti5 Ti 0.650 0.690 0.999
Ti6 Ti 0.842 0.500 0.504
H1 H 0.074 0.425 0.766
H2 H 0.575 0.924 0.266
C1 C 0.247 0.597 0.249
O1 O 0.747 0.097 0.749
```



# Nb2Te2Se

A geometry-optimized Nb2Te2Se structure (PBE, the Alexandria database).

Output
Spin magnetization, μB/f.u.: 0.00
Calculated total energy, eV/atom: -6.1617
Formation energy (no corrections), meV per atom: -180

CIF file:
```
data_Nb2Te2Se
_cell_length_a 7.556
_cell_length_b 5.427
_cell_length_c 11.862
_cell_angle_alpha 90.00
_cell_angle_beta 90.00
_cell_angle_gamma 90.00
_space_group_name_H-M_alt 'P n m a'
_space_group_IT_number 62
_space_group_name_Hall '-P 2ac 2n'
loop_
_atom_site_label
_atom_site_type_symbol
_atom_site_fract_x
_atom_site_fract_y
_atom_site_fract_z
Nb1 Nb 0.081 0.250 0.236
Nb2 Nb 0.179 0.250 0.614
Te1 Te 0.018 0.250 0.819
Te2 Te 0.131 0.750 0.563
Se1 Se 0.205 0.750 0.900
```



# NdSbPt

A geometry-optimized NdSbPt structure (PBE, the Alexandria database).

Output
Spin magnetization, μB/f.u.: 0.00
Calculated total energy, eV/atom: -5.6215
Formation energy (no corrections), meV per atom: -644

CIF file:
```
data_NdSbPt
_cell_length_a 4.115
_cell_length_b 4.115
_cell_length_c 8.990
_cell_angle_alpha 90.00
_cell_angle_beta 90.00
_cell_angle_gamma 90.00
_space_group_name_H-M_alt 'I 4 m m'
_space_group_IT_number 107
_space_group_name_Hall 'I 4 -2'
loop_
_atom_site_label
_atom_site_type_symbol
_atom_site_fract_x
_atom_site_fract_y
_atom_site_fract_z
Nd1 Nd 0.000 0.000 0.000
Sb1 Sb 0.000 0.000 0.664
Pt1 Pt 0.000 0.000 0.361
```



# Ho2AlGe3Ir4

A geometry-optimized Ho2AlGe3Ir4 structure (PBE, the Alexandria database).

Output
Spin magnetization, μB/f.u.: 0.00
Calculated total energy, eV/atom: -7.0246
Energy of formation from the pure elements, eV per atom: -0.805

CIF file:
```
data_Ho2AlGe3Ir4
_cell_length_a 4.156
_cell_length_b 4.156
_cell_length_c 10.403
_cell_angle_alpha 90.00
_cell_angle_beta 90.00
_cell_angle_gamma 90.00
_space_group_name_H-M_alt 'P -4 m 2'
_space_group_IT_number 115
_space_group_name_Hall 'P -4 -2'
loop_
_atom_site_label
_atom_site_type_symbol
_atom_site_fract_x
_atom_site_fract_y
_atom_site_fract_z
Ho1 Ho 0.000 0.500 0.247
Al1 Al 0.000 0.000 0.500
Ge1 Ge 0.000 0.500 0.868
Ge2 Ge 0.500 0.500 0.500
Ir1 Ir 0.000 0.000 0.000
Ir2 Ir 0.000 0.500 0.635
Ir3 Ir 0.500 0.500 0.000
```



# MnRhBr2

A geometry-optimized MnRhBr2 structure (PBE, the Alexandria database).

Output
Spin magnetization, μB/f.u.: 5.00
Polymorph energy (0 for the lowest one), kJ/mol of atoms: 13.6
Calculated total energy, eV/atom: -4.9680
Formation energy (no corrections), meV per atom: -1

CIF file:
```
data_MnRhBr2
_cell_length_a 3.385
_cell_length_b 3.873
_cell_length_c 14.769
_cell_angle_alpha 90.00
_cell_angle_beta 90.00
_cell_angle_gamma 90.00
_space_group_name_H-M_alt 'I m m 2'
_space_group_IT_number 44
_space_group_name_Hall 'I 2 -2'
loop_
_atom_site_label
_atom_site_type_symbol
_atom_site_fract_x
_atom_site_fract_y
_atom_site_fract_z
Mn1 Mn 0.000 0.000 0.000
Rh1 Rh 0.000 0.500 0.365
Br1 Br 0.000 0.000 0.582
Br2 Br 0.000 0.500 0.836
```



# V2TcB2

A geometry-optimized V2TcB2 structure (PBE, the Alexandria database).

Output
Spin magnetization, μB/f.u.: 0.00
Polymorph energy (0 for the lowest one), kJ/mol of atoms: 0.0
Calculated total energy, eV/atom: -9.0674
Energy of formation from the pure elements, eV per atom: -0.676

CIF file:
```
data_V2TcB2
_cell_length_a 5.778
_cell_length_b 5.778
_cell_length_c 3.058
_cell_angle_alpha 90.00
_cell_angle_beta 90.00
_cell_angle_gamma 90.00
_space_group_name_H-M_alt 'P 4/m b m'
_space_group_IT_number 127
_space_group_name_Hall '-P 4 2ab'
loop_
_atom_site_label
_atom_site_type_symbol
_atom_site_fract_x
_atom_site_fract_y
_atom_site_fract_z
V1 V 0.174 0.326 0.000
Tc1 Tc 0.000 0.000 0.500
B1 B 0.112 0.612 0.500
```